1.
The following is a PBE calculation of a relaxed structure of RbTlSb2, from Alexandria via LeMat-Bulk.

Summary:
* E_tot: -3.0820 eV/atom
* E above lowest polymorph: 11.0 meV per atom
* uncorrected formation energy: -0.19 eV per atom
* M_tot: 0.00 μB per cell

POSCAR file:
```
RbTlSb2
1.0
-0.836 -2.028 -3.897
5.648 2.447 -2.484
3.902 -9.306 4.004
Tl Sb Rb
2 4 2
direct
0.250 0.931 0.639
0.750 0.069 0.361
0.250 0.355 0.513
0.750 0.103 0.067
0.250 0.897 0.933
0.750 0.645 0.487
0.250 0.581 0.195
0.750 0.419 0.805
```


2.
The following is a PBE calculation of a relaxed structure of K2BaTa, from Alexandria via LeMat-Bulk.

Summary:
* E_tot: -3.0084 eV/atom
* ΔH_f (0 K): 984 meV/atom
* E above lowest polymorph: 0.0 meV per atom
* M_tot: 0.00 μB per cell

POSCAR file:
```
K2BaTa
1.0
3.524 0.000 0.000
0.000 3.524 0.036
0.000 3.320 13.433
K Ba Ta
2 1 1
direct
0.000 0.020 0.988
0.500 0.189 0.304
0.500 0.809 0.692
0.000 0.482 0.516
```


3.
The following is a PBE calculation of a relaxed structure of HoSc4Al4, from Alexandria via LeMat-Bulk.

Summary:
* E_tot: -5.1693 eV/atom
* ΔH_f (0 K): -183 meV/atom
* M_tot: 0.00 μB per cell

POSCAR file:
```
HoSc4Al4
1.0
5.404 0.000 0.000
0.000 8.490 0.000
0.000 0.000 8.490
Ho Al Sc
2 8 8
direct
0.000 0.000 0.000
0.500 0.500 0.500
0.910 0.391 0.708
0.410 0.792 0.891
0.090 0.292 0.391
0.590 0.891 0.208
0.410 0.208 0.109
0.910 0.609 0.292
0.090 0.708 0.609
0.590 0.109 0.792
0.109 0.070 0.655
0.391 0.430 0.845
0.391 0.570 0.155
0.109 0.930 0.345
0.609 0.845 0.570
0.891 0.345 0.070
0.609 0.155 0.430
0.891 0.655 0.930
```


4.
The following is a PBE calculation of a relaxed structure of Al8Ir2Rh, from Alexandria via LeMat-Bulk.

Summary:
* E_tot: -5.6431 eV/atom
* ΔH_f (0 K): -642 meV/atom
* M_tot: 0.00 μB per cell

POSCAR file:
```
Al8Ir2Rh
1.0
3.830 0.000 -1.166
-1.088 6.293 -3.574
0.059 -0.230 7.070
Ir Al Rh
2 8 1
direct
0.192 0.692 0.384
0.808 0.308 0.616
0.853 0.853 0.706
0.660 0.884 0.321
0.147 0.147 0.294
0.000 0.312 0.000
0.340 0.116 0.679
0.660 0.437 0.321
0.340 0.563 0.679
0.000 0.688 0.000
0.500 0.000 0.000
```